Ni2HgOs, optimized geometry, DFT PBE; spin magnetization = 9.02 μB per cell; SG = F-43m; crystal system = cubic; formation energy = 0.71 eV per atom
1.0
6.1496 0.0000 0.0000
0.0000 6.1496 0.0000
0.0000 0.0000 6.1496
Ni Hg Os
8 4 4
direct
0.0000 0.0000 0.0000
0.0000 0.5000 0.5000
0.2500 0.2500 0.2500
0.2500 0.7500 0.7500
0.5000 0.0000 0.5000
0.5000 0.5000 0.0000
0.7500 0.2500 0.7500
0.7500 0.7500 0.2500
0.2500 0.2500 0.7500
0.2500 0.7500 0.2500
0.7500 0.2500 0.2500
0.7500 0.7500 0.7500
0.0000 0.0000 0.5000
0.0000 0.5000 0.0000
0.5000 0.0000 0.0000
0.5000 0.5000 0.5000